# 1
Material: Rb2LiIF6
Method: DFT, PBE
State: relaxed

Energy relative to the elements, uncorrected: -2080 meV per atom
DOS(E_F): 0.000 states/eV per atom
Space group: I4/mmm, No. 139

Unit cell a=6.217 b=6.217 c=6.217 alpha=117.52 beta=117.52 gamma=94.36
Atoms (fractional coordinates):
Rb: 0.250 0.750 0.500
Rb: 0.750 0.250 0.500
Li: 0.000 0.000 0.000
I: 0.500 0.500 0.000
F: 0.227 0.227 0.453
F: 0.227 0.773 0.000
F: 0.258 0.258 0.000
F: 0.742 0.742 0.000
F: 0.773 0.227 0.000
F: 0.773 0.773 0.547

***

# 2
Material: Cd2C
Method: DFT, PBE
State: relaxed

Distance to the lowest polymorph of the same formula: 1.54 eV/f.u.
DOS(E_F): 0.430 states/eV per atom
E_form: 3.78 eV/f.u.
Space group: P-3m1, No. 164

Unit cell a=3.659 b=3.659 c=4.662 alpha=90.00 beta=90.00 gamma=120.00
Atoms (fractional coordinates):
Cd: 0.333 0.667 0.250
Cd: 0.667 0.333 0.750
C: 0.000 0.000 0.000

***

# 3
Material: ZrSc2Mo
Method: DFT, PBE
State: relaxed

Distance to the lowest polymorph of the same formula: 0.08 eV/f.u.
DOS(E_F): 1.177 states/eV per atom
E_form: 0.30 eV/f.u.
Space group: Imm2, No. 44

Unit cell a=3.502 b=5.065 c=9.565 alpha=90.00 beta=90.00 gamma=90.00
Atoms (fractional coordinates):
Zr: 0.000 0.000 0.000
Zr: 0.500 0.500 0.500
Sc: 0.000 0.000 0.435
Sc: 0.000 0.500 0.219
Sc: 0.500 0.000 0.719
Sc: 0.500 0.500 0.935
Mo: 0.000 0.500 0.706
Mo: 0.500 0.000 0.206

***

# 4
Material: BeAsOs2
Method: DFT, PBE
State: relaxed

Distance to the lowest polymorph of the same formula: 0.21 eV/f.u.
DOS(E_F): 0.768 states/eV per atom
E_form: 0.71 eV/f.u.
Space group: P4/mmm, No. 123

Unit cell a=2.961 b=2.961 c=5.856 alpha=90.00 beta=90.00 gamma=90.00
Atoms (fractional coordinates):
Be: 0.000 0.000 0.000
As: 0.000 0.000 0.500
Os: 0.500 0.500 0.234
Os: 0.500 0.500 0.766

***

# 5
Material: ZnTc2Mo
Method: DFT, PBE
State: relaxed

DOS(E_F): 1.170 states/eV per atom
E_form: 0.36 eV/f.u.
Space group: Imm2, No. 44

Unit cell a=3.138 b=4.278 c=8.792 alpha=90.00 beta=90.00 gamma=90.00
Atoms (fractional coordinates):
Zn: 0.000 0.000 0.000
Zn: 0.500 0.500 0.500
Tc: 0.000 0.000 0.499
Tc: 0.000 0.500 0.755
Tc: 0.500 0.000 0.255
Tc: 0.500 0.500 0.999
Mo: 0.000 0.500 0.240
Mo: 0.500 0.000 0.740

***

# 6
Material: Nb2Tc2W
Method: DFT, PBE
State: relaxed

Distance to the lowest polymorph of the same formula: 3.58 eV/f.u.
DOS(E_F): 1.391 states/eV per atom
E_form: 4.22 eV/f.u.
Space group: I4/mmm, No. 139

Unit cell a=4.163 b=4.163 c=10.682 alpha=90.00 beta=90.00 gamma=90.00
Atoms (fractional coordinates):
Nb: 0.000 0.500 0.250
Nb: 0.000 0.500 0.750
Nb: 0.500 0.000 0.250
Nb: 0.500 0.000 0.750
Tc: 0.000 0.000 0.109
Tc: 0.000 0.000 0.891
Tc: 0.500 0.500 0.391
Tc: 0.500 0.500 0.609
W: 0.000 0.000 0.500
W: 0.500 0.500 0.000